This record from Alexandria via LeMat-Bulk describes a relaxed structure of PmPr6Dy3Er2. The functional is PBE.

The structure belongs to space group C2/m (No. 12); the cell edges are 6.312, 10.932 and 11.912 Å and the angles 90.00°, 100.14° and 90.00°. The asymmetric unit holds Pm at (0.000, 0.000, 0.000), Pr at (0.249, 0.333, 0.750), Pr at (0.250, 0.000, 0.750), Dy at (0.000, 0.167, 0.500), Dy at (0.000, 0.500, 0.500) and Er at (0.000, 0.333, 0.000).

For the formation energy, the calculation gives 0.012 eV per atom. Its density of states at the Fermi level is 27.3 states/eV/cell. The electronic total energy is -56.2 eV per formula unit. The crystal system is monoclinic.



This record from Alexandria via LeMat-Bulk describes a relaxed structure of Pm4PrDy2Er. The functional is PBE.

The structure belongs to space group C2/c (No. 15); the cell edges are 13.729, 13.333 and 6.880 Å and the angles 90.00°, 120.05° and 90.00°. The asymmetric unit holds Pm at (0.001, 0.249, 0.000), Pm at (0.249, 0.002, 0.492), Pr at (0.250, 0.250, 0.000), Dy at (0.000, 0.500, 0.000), Dy at (0.250, 0.250, 0.500) and Er at (0.000, 0.000, 0.000).

For the formation energy, the calculation gives 0.397 eV per atom. Its density of states at the Fermi level is 78.0 states/eV/cell. The electronic total energy is -34.4 eV per formula unit. The crystal system is monoclinic.



This record from Alexandria via LeMat-Bulk describes a relaxed structure of Pm5PrDyEr2. The functional is PBE.

The structure belongs to space group Cmc2_1 (No. 36); the cell edges are 5.654, 20.273 and 10.755 Å and the angles 90.00°, 90.00° and 90.00°. The asymmetric unit holds Pm at (0.000, 0.017, 0.000), Pm at (0.000, 0.282, 0.283), Pm at (0.000, 0.297, 0.680), Pm at (0.000, 0.393, 0.002), Pm at (0.000, 0.479, 0.717), Pr at (0.000, 0.203, 0.985), Dy at (0.000, 0.412, 0.432), Er at (0.000, 0.109, 0.714) and Er at (0.000, 0.116, 0.295).

For the formation energy, the calculation gives 0.148 eV per atom. Its density of states at the Fermi level is 55.9 states/eV/cell. The electronic total energy is -40.9 eV per formula unit. The crystal system is orthorhombic.



This record from Alexandria via LeMat-Bulk describes a relaxed structure of Pm3Dy6Er2Pu. The functional is PBE.

The structure belongs to space group C2/m (No. 12); the cell edges are 6.152, 10.657 and 11.729 Å and the angles 90.00°, 100.10° and 90.00°. The asymmetric unit holds Pm at (0.000, 0.000, 0.000), Pm at (0.000, 0.333, 0.000), Dy at (0.246, 0.335, 0.745), Dy at (0.248, 0.500, 0.255), Er at (0.000, 0.167, 0.500) and Pu at (0.000, 0.500, 0.500).

For the formation energy, the calculation gives 0.044 eV per atom. Its density of states at the Fermi level is 47.3 states/eV/cell. The electronic total energy is -64.8 eV per formula unit. The crystal system is monoclinic.



This record from Alexandria via LeMat-Bulk describes a relaxed structure of Pm2Dy6Er3Pu. The functional is PBE.

The structure belongs to space group C2/m (No. 12); the cell edges are 6.133, 10.631 and 11.704 Å and the angles 90.00°, 100.12° and 90.00°. The asymmetric unit holds Pm at (0.000, 0.167, 0.000), Dy at (0.246, 0.500, 0.749), Dy at (0.248, 0.335, 0.251), Er at (0.000, 0.000, 0.500), Er at (0.000, 0.333, 0.500) and Pu at (0.000, 0.500, 0.000).

For the formation energy, the calculation gives 0.048 eV per atom. Its density of states at the Fermi level is 50.3 states/eV/cell. The electronic total energy is -64.6 eV per formula unit. The crystal system is monoclinic.



This record from Alexandria via LeMat-Bulk describes a relaxed structure of PmDyErPu. The functional is PBE.

The structure belongs to space group F-43m (No. 216); the cell edges are 7.929, 7.929 and 7.929 Å and the angles 90.00°, 90.00° and 90.00°. The asymmetric unit holds Pm at (0.000, 0.000, 0.000), Dy at (0.000, 0.000, 0.500), Er at (0.250, 0.250, 0.250) and Pu at (0.250, 0.250, 0.750).

For the formation energy, the calculation gives 0.203 eV per atom. Its density of states at the Fermi level is 40.9 states/eV/cell. The electronic total energy is -27.4 eV per formula unit. The crystal system is cubic.



This record from Alexandria via LeMat-Bulk describes a relaxed structure of PmDy2Er3S6. The functional is PBE.

The structure belongs to space group C2/m (No. 12); the cell edges are 6.743, 11.727 and 6.779 Å and the angles 90.00°, 109.42° and 90.00°. The asymmetric unit holds Pm at (0.000, 0.000, 0.000), Dy at (0.000, 0.334, 0.000), Er at (0.000, 0.163, 0.500), Er at (0.000, 0.500, 0.500), S at (0.244, 0.330, 0.741) and S at (0.245, 0.500, 0.256).

Its density of states at the Fermi level is 9.9 states/eV/cell. Its uncorrected formation energy is -23.8 eV per formula unit. The electronic total energy is -76.2 eV per formula unit. The crystal system is monoclinic.



This record from Alexandria via LeMat-Bulk describes a relaxed structure of Pm2DyErS4. The functional is PBE.

The structure belongs to space group P2/m (No. 10); the cell edges are 6.813, 3.907 and 6.970 Å and the angles 90.00°, 108.80° and 90.00°. The asymmetric unit holds Pm at (0.000, 0.000, 0.000), Pm at (0.500, 0.500, 0.000), Dy at (0.000, 0.500, 0.500), Er at (0.500, 0.000, 0.500), S at (0.247, 0.000, 0.736) and S at (0.257, 0.500, 0.265).

Its density of states at the Fermi level is 4.3 states/eV/cell. Its uncorrected formation energy is -16.1 eV per formula unit. The electronic total energy is -51.2 eV per formula unit. The crystal system is monoclinic.



This record from Alexandria via LeMat-Bulk describes a relaxed structure of Pm3Dy3ErS8. The functional is PBE.

The structure belongs to space group R-3m (No. 166, hexagonal axes); the cell edges are 7.8840, 7.8840 and 19.5295 Å and the angles 90.00°, 90.00° and 120.00°. The asymmetric unit holds Pm at (0.0000, 0.5000, 0.0000), Dy at (0.0000, 0.5000, 0.5000), Er at (0.0000, 0.0000, 0.5000), S at (0.0000, 0.0000, 0.2462) and S at (0.0006, 0.5003, 0.2461).

Its density of states at the Fermi level is 20.7 states/eV/cell. Its uncorrected formation energy is -30.9 eV per formula unit. The electronic total energy is -96.5 eV per formula unit. The crystal system is trigonal.



This record from Alexandria via LeMat-Bulk describes a relaxed structure of Pm4DyEr3S8. The functional is PBE.

The structure belongs to space group R-3m (No. 166, hexagonal axes); the cell edges are 7.8471, 7.8471 and 19.6944 Å and the angles 90.00°, 90.00° and 120.00°. The asymmetric unit holds Pm at (0.0000, 0.0000, 0.0000), Pm at (0.0000, 0.5000, 0.0000), Dy at (0.0000, 0.0000, 0.5000), Er at (0.0000, 0.5000, 0.5000), S at (0.0000, 0.0000, 0.2442) and S at (0.0020, 0.5010, 0.7553).

Its density of states at the Fermi level is 21.9 states/eV/cell. Its uncorrected formation energy is -32.0 eV per formula unit. The electronic total energy is -102.3 eV per formula unit. The crystal system is trigonal.